Computed, not measured: a relaxed Cs2CeCo3F12 crystal at the PBE with a Hubbard U level of DFT.

density of states at the Fermi level	0.2587	states/eV per atom
space-group type	No. 166
magnetization	8.8	μB/f.u.
volume	17.81	A^3/atom
uncorrected energy	-5.256	eV per atom

```
data_Cs2CeCo3F12
_chemical_formula_sum 'Cs2 Ce1 Co3 F12'
_symmetry_space_group_name_H-M 'P 1'
_symmetry_Int_Tables_number 1
_cell_length_a 7.757
_cell_length_b 7.757
_cell_length_c 7.757
_cell_angle_alpha 58.74
_cell_angle_beta 58.74
_cell_angle_gamma 58.74
loop_
_symmetry_equiv_pos_as_xyz
'x,y,z'
loop_
_atom_site_label
_atom_site_type_symbol
_atom_site_fract_x
_atom_site_fract_y
_atom_site_fract_z
F1 F 0.698 0.698 0.084
F2 F 0.916 0.302 0.302
F3 F 0.349 0.910 0.910
F4 F 0.910 0.910 0.349
F5 F 0.302 0.302 0.916
F6 F 0.090 0.090 0.651
F7 F 0.090 0.651 0.090
F8 F 0.698 0.084 0.698
F9 F 0.302 0.916 0.302
F10 F 0.651 0.090 0.090
F11 F 0.084 0.698 0.698
F12 F 0.910 0.349 0.910
Cs1 Cs 0.396 0.396 0.396
Cs2 Cs 0.604 0.604 0.604
Co1 Co 0.000 0.500 0.000
Co2 Co 0.500 0.000 0.000
Co3 Co 0.000 0.000 0.500
Ce1 Ce 0.000 0.000 0.000
```